The following is a GGA-PBE calculation of a geometry-optimized ZnAsRuBr2 structure, from Alexandria via LeMat-Bulk.

a = 5.0500 Å, b = 5.0500 Å, c = 4.9859 Å
α = 90.00°, β = 90.00°, γ = 90.00°
Closest atoms and distances in Å follow each position.
Element x y z (fractional)
1 Zn 0.0000 0.0000 0.0000  2 As 2.49, 4 Br 2.52
2 As 0.0000 0.0000 0.5000  2 Zn 2.49
3 Ru 0.5000 0.5000 0.5000  8 Br 3.55, 4 As 3.57
4 Br 0.0000 0.5000 0.0000  2 Zn 2.52
5 Br 0.5000 0.0000 0.0000  2 Zn 2.52

Summary:
Formation energy from raw total energies: 955 meV/atom
Energy relative to the lowest polymorph listed for this composition: 0.6324 eV/atom
SG: P4/mmm (123)
Fermi-level density of states: 1.1801 states/eV per atom